Compound: Sc4MnTe
Source: the Alexandria database
Functional: PBEsol
Structure: optimized geometry

a b c (Å): 5.739 5.739 5.739
angles (deg): 60.00 60.00 60.00
Last column: magnetic moment on the atom in μB.
Fractional positions:
Mn 0.000 0.000 0.000  3.85
Sc 0.374 0.374 0.374  -0.22
Sc 0.374 0.374 0.879  -0.22
Sc 0.879 0.374 0.374  -0.22
Sc 0.374 0.879 0.374  -0.22
Te 0.750 0.750 0.750  0.01

* energy relative to the elements, uncorrected: 0.34 eV/atom
* total DFT energy (no corrections): -6.2757 eV/atom
* DOS at the Fermi energy: 1.59 states/eV per atom
* crystal system: cubic
* mass density: 4.503 g/cm³

---

Compound: KFe2Hg
Source: the Alexandria database
Functional: PBEsol
Structure: optimized geometry

a b c (Å): 3.068 3.070 8.206
angles (deg): 90.00 90.00 90.00
Last column: magnetic moment on the atom in μB.
Fractional positions:
Fe 0.000 0.000 0.091  2.55
Fe 0.500 0.500 0.207  2.51
Hg 0.000 0.000 0.437  -0.01
K 0.500 0.500 0.765  -0.01

* total DFT energy (no corrections): -4.4100 eV/atom
* DOS at the Fermi energy: 0.67 states/eV per atom
* crystal system: tetragonal
* formation energy from the elements: 497 meV/atom
* mass density: 7.547 g/cm³

---

Compound: KCNO
Source: the Alexandria database
Functional: PBEsol
Structure: optimized geometry

a b c (Å): 5.506 5.506 5.506
angles (deg): 101.26 114.14 113.30
Fractional positions:
K 0.745 0.745 0.000
K 0.745 0.245 0.500
C 0.257 0.002 0.754
C 0.248 0.502 0.246
O 0.968 0.859 0.610
O 0.249 0.359 0.390
N 0.538 0.143 0.895
N 0.249 0.643 0.105

* energy relative to the elements, uncorrected: -0.98 eV/atom
* total DFT energy (no corrections): -7.1144 eV/atom
* DOS at the Fermi energy: 0.00 states/eV per atom
* crystal system: orthorhombic
* mass density: 2.129 g/cm³

---

Compound: MgZrSe
Source: the Alexandria database
Functional: PBEsol
Structure: optimized geometry

a b c (Å): 4.527 4.527 4.527
angles (deg): 60.00 60.00 60.00
Fractional positions:
Mg 0.500 0.500 0.500
Se 0.750 0.750 0.750
Zr 0.000 0.000 0.000

* energy relative to the elements, uncorrected: -0.19 eV/atom
* total DFT energy (no corrections): -5.0750 eV/atom
* DOS at the Fermi energy: 1.32 states/eV per atom
* crystal system: cubic
* offset from the most stable computed form: 483 meV per atom
* mass density: 4.924 g/cm³

---

Compound: Ca3CoSn
Source: the Alexandria database
Functional: PBEsol
Structure: optimized geometry

a b c (Å): 5.811 5.811 5.811
angles (deg): 90.00 90.00 90.00
Last column: magnetic moment on the atom in μB.
Fractional positions:
Ca 0.000 0.500 0.000  -0.03
Ca 0.000 0.000 0.500  -0.03
Ca 0.500 0.000 0.000  -0.03
Co 0.500 0.500 0.500  1.97
Sn 0.000 0.000 0.000  0.02

* total DFT energy (no corrections): -3.0614 eV/atom
* DOS at the Fermi energy: 2.34 states/eV per atom
* crystal system: cubic
* formation energy from the elements: 618 meV/atom
* mass density: 2.520 g/cm³

---

Compound: ReNiOs
Source: the Alexandria database
Functional: PBEsol
Structure: optimized geometry

a b c (Å): 2.685 2.685 6.382
angles (deg): 90.00 90.00 120.00
Fractional positions:
Ni 0.000 0.000 0.001
Os 0.333 0.667 0.667
Re 0.667 0.333 0.332

* total DFT energy (no corrections): -10.4694 eV/atom
* DOS at the Fermi energy: 0.55 states/eV per atom
* crystal system: trigonal
* formation energy from the elements: 99 meV/atom
* offset from the most stable computed form: 91 meV per atom
* mass density: 18.130 g/cm³

---

Compound: LiCaAg2
Source: the Alexandria database
Functional: PBEsol
Structure: optimized geometry

a b c (Å): 4.527 4.527 5.521
angles (deg): 65.79 65.79 60.00
Fractional positions:
Ca 0.000 0.000 0.000
Ag 0.791 0.791 0.626
Ag 0.209 0.209 0.374
Li 0.500 0.500 0.500

* total DFT energy (no corrections): -2.8937 eV/atom
* DOS at the Fermi energy: 0.33 states/eV per atom
* crystal system: trigonal
* formation energy from the elements: -213 meV/atom
* offset from the most stable computed form: 0 meV per atom
* mass density: 5.055 g/cm³

---

Compound: Zn2FeCo
Source: the Alexandria database
Functional: PBEsol
Structure: optimized geometry

a b c (Å): 2.730 2.730 6.432
angles (deg): 90.00 90.00 90.00
Last column: magnetic moment on the atom in μB.
Fractional positions:
Zn 0.000 0.000 0.983  -0.05
Zn 0.500 0.500 0.272  -0.04
Co 0.000 0.000 0.519  1.20
Fe 0.500 0.500 0.726  2.24

* total DFT energy (no corrections): -4.9773 eV/atom
* DOS at the Fermi energy: 0.45 states/eV per atom
* crystal system: tetragonal
* formation energy from the elements: -11 meV/atom
* offset from the most stable computed form: 0 meV per atom
* mass density: 8.505 g/cm³

---

Compound: MnSi2Cl
Source: the Alexandria database
Functional: PBEsol
Structure: optimized geometry

a b c (Å): 2.850 2.850 6.806
angles (deg): 90.00 90.00 90.00
Fractional positions:
Cl 0.500 0.500 0.000
Mn 0.500 0.500 0.500
Si 0.000 0.000 0.694
Si 0.000 0.000 0.306

* energy relative to the elements, uncorrected: 0.06 eV/atom
* total DFT energy (no corrections): -5.7597 eV/atom
* DOS at the Fermi energy: 0.85 states/eV per atom
* crystal system: tetragonal
* offset from the most stable computed form: 0 meV per atom
* mass density: 4.401 g/cm³

---

Compound: LaFeCo2
Source: the Alexandria database
Functional: PBEsol
Structure: optimized geometry

a b c (Å): 3.044 4.475 5.229
angles (deg): 115.33 106.92 90.00
Last column: magnetic moment on the atom in μB.
Fractional positions:
Co 0.029 0.029 0.059  1.49
Co 0.750 0.250 0.499  1.12
Fe 0.469 0.469 0.938  2.67
La 0.252 0.752 0.504  -0.18

* total DFT energy (no corrections): -7.0284 eV/atom
* DOS at the Fermi energy: 1.05 states/eV per atom
* crystal system: orthorhombic
* formation energy from the elements: 418 meV/atom
* mass density: 8.518 g/cm³

---

Compound: ZrSc2Cl
Source: the Alexandria database
Functional: PBEsol
Structure: optimized geometry

a b c (Å): 3.194 3.263 8.516
angles (deg): 90.08 90.00 90.00
Fractional positions:
Sc 0.000 0.501 0.751
Sc 0.000 0.499 0.249
Zr 0.500 0.000 0.500
Cl 0.500 0.500 0.000

* energy relative to the elements, uncorrected: -0.61 eV/atom
* total DFT energy (no corrections): -6.6892 eV/atom
* DOS at the Fermi energy: 1.05 states/eV per atom
* crystal system: monoclinic
* offset from the most stable computed form: 0 meV per atom
* mass density: 4.052 g/cm³

---

Compound: La2Cu
Source: the Alexandria database
Functional: PBEsol
Structure: optimized geometry

a b c (Å): 4.728 7.657 7.657
angles (deg): 120.00 90.00 90.00
Fractional positions:
Cu 0.000 0.667 0.333
Cu 0.000 0.333 0.667
Cu 0.500 0.000 0.000
La 0.000 0.725 0.725
La 0.000 0.000 0.275
La 0.000 0.275 0.000
La 0.500 0.397 0.397
La 0.500 0.000 0.603
La 0.500 0.603 0.000

* total DFT energy (no corrections): -5.0479 eV/atom
* DOS at the Fermi energy: 1.13 states/eV per atom
* crystal system: hexagonal
* formation energy from the elements: -39 meV/atom
* mass density: 7.083 g/cm³

---

- What is the formula in the seventh record?
  LiCaAg2